1.
The following is a GGA-PBE calculation of a geometry-optimized SiHgMo2 structure, from Alexandria via LeMat-Bulk.

extended XYZ file:
```
4
Lattice="3.944 0.000 0.000 0.000 3.944 0.000 0.000 0.000 4.188" Properties=species:S:1:pos:R:3 pbc="T T T"
Si 0.000 0.000 0.000
Hg 1.972 1.972 0.000
Mo 0.000 1.972 2.094
Mo 1.972 0.000 2.094
```

Calculated values
The value obtained for the density of states at the Fermi level is 0.949 states/eV/atom. The uncorrected formation energy comes out at 0.539 eV per atom. Its density is 10.72 g cm⁻³. The total magnetization comes out at 0.00 μB per formula unit. The symmetry is P4/mmm, No. 123. The value obtained for the energy above the lowest structure with this stoichiometry is 366.0 meV/atom.

***

2.
The following is a GGA-PBE calculation of a geometry-optimized ZrTe2AsN structure, from Alexandria via LeMat-Bulk.

extended XYZ file:
```
5
Lattice="5.554 0.000 0.000 0.000 5.554 0.000 0.000 0.000 3.657" Properties=species:S:1:pos:R:3 pbc="T T T"
Zr 0.000 0.000 0.000
Te 0.000 2.777 1.829
Te 2.777 0.000 1.829
As 2.777 2.777 1.829
N 2.777 2.777 0.000
```

Calculated values
The value obtained for the density of states at the Fermi level is 0.903 states/eV/atom. The uncorrected formation energy comes out at 0.573 eV per atom. Its density is 6.41 g cm⁻³. The total magnetization comes out at 0.00 μB per formula unit. The symmetry is P4/mmm, No. 123. The value obtained for the energy above the lowest structure with this stoichiometry is 305.9 meV/atom.